# PBE-GGA TbSn6, optimized geometry
data_TbSn6
_chemical_formula_sum 'Tb1 Sn6'
_space_group_name_H-M_alt 'P 1'
_space_group_IT_number 1
_cell_length_a 6.989
_cell_length_b 6.989
_cell_length_c 6.989
_cell_angle_alpha 109.47
_cell_angle_beta 109.47
_cell_angle_gamma 109.47
loop_
_space_group_symop_operation_xyz
'x,y,z'
loop_
_atom_site_label
_atom_site_type_symbol
_atom_site_fract_x
_atom_site_fract_y
_atom_site_fract_z
Tb1 Tb 0.000 0.000 0.000
Sn1 Sn 0.250 0.500 0.750
Sn2 Sn 0.250 0.750 0.500
Sn3 Sn 0.500 0.250 0.750
Sn4 Sn 0.500 0.750 0.250
Sn5 Sn 0.750 0.250 0.500
Sn6 Sn 0.750 0.500 0.250
# VASP energy: -3.69 eV/atom
# Space-group type: Im-3m (229)
# Total magnetic moment: 0.0 μB/f.u.
# ΔH_f (0 K): 0.41 eV/atom